No. 1
Here is Mn2Be2Os at its PBEsol-relaxed geometry from Alexandria. Energies are from SCAN.

abc: 6.059 6.059 2.737
angles: 90.00 90.00 90.00
Element x y z (fractional)
1 Mn 0.171 0.329 0.000
2 Mn 0.329 0.829 0.000
3 Mn 0.671 0.171 0.000
4 Mn 0.829 0.671 0.000
5 Be 0.123 0.623 0.500
6 Be 0.377 0.123 0.500
7 Be 0.623 0.877 0.500
8 Be 0.877 0.377 0.500
9 Os 0.000 0.000 0.500
10 Os 0.500 0.500 0.500

Properties
**Symmetry**: P4/mbm, No. 127
**ΔE_f**: -249 meV per atom

=====

No. 2
Here is MnBeOs2 at its PBEsol-relaxed geometry from Alexandria. Energies are from SCAN.

abc: 2.803 2.803 5.894
angles: 90.00 90.00 90.00
Element x y z (fractional)
1 Mn 0.000 0.000 0.000
2 Be 0.000 0.000 0.500
3 Os 0.500 0.500 0.266
4 Os 0.500 0.500 0.734

Properties
**Symmetry**: P4/mmm, No. 123
**ΔE_f**: -234 meV per atom

=====

No. 3
Here is MnBeOs at its PBEsol-relaxed geometry from Alexandria. Energies are from SCAN.

abc: 2.610 2.610 5.840
angles: 90.00 90.00 120.00
Element x y z (fractional)
1 Mn 0.000 0.000 0.000
2 Be 0.667 0.333 0.319
3 Os 0.333 0.667 0.662

Properties
**Symmetry**: P3m1, No. 156
**ΔE_f**: 61 meV per atom
**Offset from the most stable computed form**: 265 meV per atom

=====

No. 4
Here is MnBeOs2 at its PBEsol-relaxed geometry from Alexandria. Energies are from SCAN.

abc: 2.666 3.712 4.874
angles: 90.00 90.00 90.00
Element x y z (fractional)
1 Mn 0.000 0.000 0.000
2 Be 0.500 0.500 0.773
3 Os 0.000 0.000 0.537
4 Os 0.500 0.500 0.261

Properties
**Symmetry**: Pmm2, No. 25
**ΔE_f**: -33 meV per atom

=====

No. 5
Here is Mn2BeOs at its PBEsol-relaxed geometry from Alexandria. Energies are from SCAN.

abc: 3.957 3.957 3.957
angles: 60.00 60.00 60.00
Element x y z (fractional)
1 Mn 0.000 0.000 0.000
2 Mn 0.250 0.250 0.250
3 Be 0.750 0.750 0.750
4 Os 0.500 0.500 0.500

Properties
**Symmetry**: F-43m, No. 216
**ΔE_f**: -205 meV per atom

=====

No. 6
Here is Mn2BeOs at its PBEsol-relaxed geometry from Alexandria. Energies are from SCAN.

abc: 4.641 4.641 4.641
angles: 144.97 131.98 60.81
Element x y z (fractional)
1 Mn 0.241 0.241 0.000
2 Mn 0.759 0.759 0.000
3 Be 0.000 0.500 0.500
4 Os 0.500 0.000 0.500

Properties
**Symmetry**: Immm, No. 71
**ΔE_f**: -94 meV per atom

=====

No. 7
Here is Mn2BeOs at its PBEsol-relaxed geometry from Alexandria. Energies are from SCAN.

abc: 4.592 4.592 4.592
angles: 138.06 138.06 60.80
Element x y z (fractional)
1 Mn 0.250 0.750 0.500
2 Mn 0.750 0.250 0.500
3 Be 0.000 0.000 0.000
4 Os 0.500 0.500 0.000

Properties
**Symmetry**: I4/mmm, No. 139
**ΔE_f**: 8 meV per atom

=====

No. 8
Here is MnBeOs at its PBEsol-relaxed geometry from Alexandria. Energies are from SCAN.

abc: 4.652 4.652 4.652
angles: 145.62 145.62 49.42
Element x y z (fractional)
1 Mn 0.000 0.000 0.000
2 Be 0.350 0.350 0.000
3 Os 0.678 0.678 0.000

Properties
**Symmetry**: I4mm, No. 107
**ΔE_f**: -204 meV per atom
**Offset from the most stable computed form**: 0 meV per atom

=====

No. 9
Here is Mn2BeOs at its PBEsol-relaxed geometry from Alexandria. Energies are from SCAN.

abc: 2.745 2.745 5.581
angles: 90.00 90.00 90.00
Element x y z (fractional)
1 Mn 0.000 0.000 0.000
2 Mn 0.500 0.500 0.227
3 Be 0.500 0.500 0.778
4 Os 0.000 0.000 0.528

Properties
**Symmetry**: P4mm, No. 99
**ΔE_f**: -106 meV per atom

=====

No. 10
Here is ScMnBe2Os at its PBEsol-relaxed geometry from Alexandria. Energies are from SCAN.

abc: 4.228 4.228 4.496
angles: 90.00 90.00 90.00
Element x y z (fractional)
1 Sc 0.000 0.000 0.000
2 Mn 0.500 0.500 0.000
3 Be 0.000 0.500 0.500
4 Be 0.500 0.000 0.500
5 Os 0.500 0.500 0.500

Properties
**Symmetry**: P4/mmm, No. 123
**ΔE_f**: 265 meV per atom

=====

No. 11
Here is MnBe2P at its PBEsol-relaxed geometry from Alexandria. Energies are from SCAN.

abc: 4.380 4.380 2.486
angles: 99.71 99.71 119.98
Element x y z (fractional)
1 Mn 0.000 0.000 0.000
2 Be 0.000 0.500 0.500
3 Be 0.500 0.000 0.500
4 P 0.500 0.500 0.000

Properties
**Symmetry**: C2/m, No. 12
**ΔE_f**: 19 meV per atom

=====

No. 12
Here is MnBe2P at its PBEsol-relaxed geometry from Alexandria. Energies are from SCAN.

abc: 3.344 3.344 3.332
angles: 90.00 90.00 90.00
Element x y z (fractional)
1 Mn 0.000 0.000 0.000
2 Be 0.000 0.500 0.500
3 Be 0.500 0.000 0.500
4 P 0.500 0.500 0.000

Properties
**Symmetry**: P4/mmm, No. 123
**ΔE_f**: -210 meV per atom

=====

No. 13
Here is MnBeP at its PBEsol-relaxed geometry from Alexandria. Energies are from SCAN.

abc: 4.040 4.040 4.040
angles: 138.93 138.93 59.48
Element x y z (fractional)
1 Mn 0.000 0.000 0.000
2 Be 0.330 0.330 0.000
3 P 0.660 0.660 0.000

Properties
**Symmetry**: I4mm, No. 107
**ΔE_f**: -481 meV per atom

=====

No. 14
Here is MnBe2P at its PBEsol-relaxed geometry from Alexandria. Energies are from SCAN.

abc: 4.277 4.277 4.277
angles: 139.08 133.26 63.83
Element x y z (fractional)
1 Mn 0.000 0.000 0.000
2 Be 0.251 0.751 0.500
3 Be 0.749 0.249 0.500
4 P 0.500 0.500 0.000

Properties
**Symmetry**: Immm, No. 71
**ΔE_f**: -173 meV per atom

=====

No. 15
Here is MnBeP2Ru at its PBEsol-relaxed geometry from Alexandria. Energies are from SCAN.

abc: 4.133 4.133 4.531
angles: 90.00 90.00 90.00
Element x y z (fractional)
1 Mn 0.000 0.000 0.000
2 Be 0.500 0.500 0.500
3 P 0.000 0.500 0.000
4 P 0.500 0.000 0.000
5 Ru 0.000 0.000 0.500

Properties
**Symmetry**: P4/mmm, No. 123
**ΔE_f**: 1028 meV per atom

=====

No. 16
Here is MnBe2TeP at its PBEsol-relaxed geometry from Alexandria. Energies are from SCAN.

abc: 4.489 4.489 5.002
angles: 90.00 90.00 90.00
Element x y z (fractional)
1 Mn 0.000 0.000 0.000
2 Be 0.000 0.500 0.500
3 Be 0.500 0.000 0.500
4 Te 0.000 0.000 0.500
5 P 0.500 0.500 0.000

Properties
**Symmetry**: P4/mmm, No. 123
**Raw formation energy**: 1.179 eV/atom

=====

No. 17
Here is MnBe2Pb at its PBEsol-relaxed geometry from Alexandria. Energies are from SCAN.

abc: 4.671 4.671 4.671
angles: 133.75 133.75 67.47
Element x y z (fractional)
1 Mn 0.000 0.000 0.000
2 Be 0.250 0.750 0.500
3 Be 0.750 0.250 0.500
4 Pb 0.500 0.500 0.000

Properties
**Symmetry**: I4/mmm, No. 139
**ΔE_f**: 483 meV per atom

=====

No. 18
Here is Mn2Be2Pb at its PBEsol-relaxed geometry from Alexandria. Energies are from SCAN.

abc: 8.042 8.042 8.042
angles: 157.97 157.97 31.36
Element x y z (fractional)
1 Mn 0.130 0.130 0.000
2 Mn 0.870 0.870 0.000
3 Be 0.250 0.750 0.500
4 Be 0.750 0.250 0.500
5 Pb 0.500 0.500 0.000

Properties
**Symmetry**: I4/mmm, No. 139
**ΔE_f**: 301 meV per atom

=====

No. 19
Here is MnBePb at its PBEsol-relaxed geometry from Alexandria. Energies are from SCAN.

abc: 3.947 3.947 3.603
angles: 90.00 90.00 120.00
Element x y z (fractional)
1 Mn 0.000 0.000 0.000
2 Be 0.667 0.333 0.868
3 Pb 0.333 0.667 0.476

Properties
**Symmetry**: P3m1, No. 156
**ΔE_f**: 410 meV per atom

=====

No. 20
Here is MnBe2Pb at its PBEsol-relaxed geometry from Alexandria. Energies are from SCAN.

abc: 2.968 2.981 6.317
angles: 90.00 90.00 90.00
Element x y z (fractional)
1 Mn 0.000 0.000 0.000
2 Be 0.500 0.500 0.160
3 Be 0.500 0.500 0.840
4 Pb 0.000 0.000 0.500

Properties
**Symmetry**: Pmmm, No. 47
**ΔE_f**: 376 meV per atom